## Rb2VNF6 (PBE with a Hubbard U)

Data for crystalline Rb2VNF6 at its relaxed geometry.

## Properties
The calculation puts the spin magnetization at 2.0 μB/f.u. Its density of states at the Fermi level is 0.000 states/eV/atom. Its energy is -49.28 eV for the cell shown.

Cell lengths 6.4058, 6.4058, 6.4058 Å; angles 119.30, 119.30, 91.22 degrees
With the nearest neighbours (Å) after each atom.
Atoms (fractional coordinates):
Rb 0.2500 0.7500 0.5000  12 F 3.23-3.26
Rb 0.7500 0.2500 0.5000  12 F 3.23-3.26
V 0.0000 0.0000 0.0000  6 F 1.85-1.90
N 0.5000 0.5000 0.0000  6 F 2.64-2.68
F 0.2060 0.2060 0.0000  1 V 1.85
F 0.2071 0.2071 0.4143  1 V 1.90
F 0.2071 0.7929 0.0000  1 V 1.90
F 0.7929 0.2071 0.0000  1 V 1.90
F 0.7929 0.7929 0.5857  1 V 1.90
F 0.7940 0.7940 0.0000  1 V 1.85